No. 1
K6Br3Cl2F | PBE-GGA | optimized geometry

## Properties
Its crystal system is monoclinic. Its theoretical density is 2.39 Mg/m³. Its formation energy (no corrections) is -188 kJ/mol of atoms.

Unit cell a=7.8091 b=7.8091 c=7.8644 alpha=99.56 beta=99.56 gamma=119.98
Sites, in units of the cell vectors:
K 0.0753 0.3868 0.2259
K 0.2349 0.2349 0.7737
K 0.3868 0.0753 0.2259
K 0.6132 0.9247 0.7741
K 0.7651 0.7651 0.2263
K 0.9247 0.6132 0.7741
Br 0.1707 0.8293 0.5000
Br 0.5000 0.5000 0.5000
Br 0.8293 0.1707 0.5000
Cl 0.3338 0.6662 0.0000
Cl 0.6662 0.3338 0.0000
F 0.0000 0.0000 0.0000



No. 2
HfNbAs2 | PBE-GGA | optimized geometry

## Properties
Its crystal system is tetragonal. Its theoretical density is 6.74 Mg/m³. The value obtained for the distance to the lowest polymorph of the same formula is 697 meV per atom. The value obtained for the formation energy is -0.006 eV per atom.

Unit cell a=7.3217 b=7.3217 c=7.3217 alpha=132.76 beta=132.76 gamma=69.03
Sites, in units of the cell vectors:
Hf 0.0000 0.0000 0.0000
Hf 0.7500 0.2500 0.5000
Nb 0.2500 0.7500 0.5000
Nb 0.5000 0.5000 0.0000
As 0.1352 0.6250 0.0102
As 0.3750 0.3852 0.5102
As 0.6148 0.1250 0.9898
As 0.8750 0.8648 0.4898



No. 3
Na5CaTl8 | PBE-GGA | optimized geometry

## Properties
Its crystal system is tetragonal. Its theoretical density is 7.03 Mg/m³. The value obtained for the formation energy is -0.087 eV per atom.

Unit cell a=8.2247 b=8.2247 c=8.2247 alpha=113.40 beta=113.40 gamma=101.88
Sites, in units of the cell vectors:
Na 0.0000 0.0000 0.0000
Na 0.2864 0.6475 0.0742
Na 0.3525 0.4266 0.6388
Na 0.5734 0.2122 0.9258
Na 0.7878 0.7136 0.3612
Ca 0.7500 0.2500 0.5000
Tl 0.0467 0.4502 0.2574
Tl 0.1071 0.1708 0.7570
Tl 0.1928 0.7893 0.7426
Tl 0.2107 0.9533 0.4035
Tl 0.4138 0.3501 0.2430
Tl 0.5498 0.8072 0.5965
Tl 0.6499 0.8929 0.0637
Tl 0.8292 0.5862 0.9363



No. 4
Sr4CdAu2 | PBE-GGA | optimized geometry

## Properties
Its crystal system is trigonal. Its theoretical density is 5.64 Mg/m³. The value obtained for the formation energy is -0.492 eV per atom.

Unit cell a=10.9439 b=10.9439 c=10.9439 alpha=27.82 beta=27.82 gamma=27.82
Sites, in units of the cell vectors:
Sr 0.1157 0.1157 0.1157
Sr 0.2972 0.2972 0.2972
Sr 0.7028 0.7028 0.7028
Sr 0.8843 0.8843 0.8843
Cd 0.5000 0.5000 0.5000
Au 0.4049 0.4049 0.4049
Au 0.5951 0.5951 0.5951



No. 5
MgPtPb | PBE-GGA | optimized geometry

## Properties
Its crystal system is tetragonal. Its theoretical density is 10.93 Mg/m³. The value obtained for the formation energy is -0.342 eV per atom.

Unit cell a=6.3130 b=6.3130 c=6.3130 alpha=149.46 beta=149.46 gamma=43.74
Sites, in units of the cell vectors:
Mg 0.0000 0.0000 0.0000
Pt 0.6159 0.6159 0.0000
Pb 0.2798 0.2798 0.0000



No. 6
MgV2Au | PBE-GGA | optimized geometry

## Properties
Its crystal system is tetragonal. Its theoretical density is 7.71 Mg/m³. The value obtained for the formation energy is 0.569 eV per atom.

Unit cell a=5.8279 b=5.8279 c=5.8279 alpha=100.80 beta=100.80 gamma=128.69
Sites, in units of the cell vectors:
Mg 0.0000 0.0000 0.0000
Mg 0.7500 0.2500 0.5000
V 0.1462 0.6250 0.0212
V 0.3750 0.3962 0.5212
V 0.6038 0.1250 0.9788
V 0.8750 0.8538 0.4788
Au 0.2500 0.7500 0.5000
Au 0.5000 0.5000 0.0000



No. 7
Cd2Ir2Pb | PBE-GGA | optimized geometry

## Properties
Its crystal system is tetragonal. Its theoretical density is 13.84 Mg/m³. The value obtained for the formation energy is 0.313 eV per atom.

Unit cell a=7.8044 b=7.8044 c=3.2158 alpha=90.00 beta=90.00 gamma=90.00
Sites, in units of the cell vectors:
Cd 0.1666 0.3334 0.0000
Cd 0.3334 0.8334 0.0000
Cd 0.6666 0.1666 0.0000
Cd 0.8334 0.6666 0.0000
Ir 0.1277 0.6277 0.5000
Ir 0.3723 0.1277 0.5000
Ir 0.6277 0.8723 0.5000
Ir 0.8723 0.3723 0.5000
Pb 0.0000 0.0000 0.5000
Pb 0.5000 0.5000 0.5000



No. 8
CePm3Pr | PBE-GGA | optimized geometry

## Properties
Its crystal system is triclinic. Its theoretical density is 7.03 Mg/m³. The value obtained for the formation energy is 0.059 eV per atom.

Unit cell a=7.2527 b=8.0984 c=12.6010 alpha=75.22 beta=73.39 gamma=77.09
Sites, in units of the cell vectors:
Ce 0.0468 0.1099 0.0935
Ce 0.2426 0.4987 0.0003
Ce 0.7574 0.5013 0.9997
Ce 0.9532 0.8901 0.9065
Pm 0.0479 0.0975 0.6039
Pm 0.1460 0.2948 0.8061
Pm 0.1489 0.3009 0.2953
Pm 0.3443 0.6973 0.7062
Pm 0.3496 0.7018 0.1937
Pm 0.4494 0.8925 0.9036
Pm 0.5506 0.1075 0.0964
Pm 0.6504 0.2982 0.8063
Pm 0.6557 0.3027 0.2938
Pm 0.8511 0.6991 0.7047
Pm 0.8540 0.7052 0.1939
Pm 0.9521 0.9025 0.3961
Pr 0.2504 0.4985 0.4992
Pr 0.4493 0.9003 0.4008
Pr 0.5507 0.0997 0.5992
Pr 0.7496 0.5015 0.5008



No. 9
TiMn2Cr2 | PBE-GGA | optimized geometry

## Properties
Its crystal system is tetragonal. Its theoretical density is 6.77 Mg/m³. The value obtained for the formation energy is 0.158 eV per atom.

Unit cell a=6.9007 b=6.9007 c=2.6974 alpha=90.00 beta=90.00 gamma=90.00
Sites, in units of the cell vectors:
Ti 0.0000 0.0000 0.0000
Ti 0.5000 0.5000 0.0000
Mn 0.1438 0.3562 0.0000
Mn 0.3562 0.8562 0.0000
Mn 0.6438 0.1438 0.0000
Mn 0.8562 0.6438 0.0000
Cr 0.1537 0.6537 0.5000
Cr 0.3463 0.1537 0.5000
Cr 0.6537 0.8463 0.5000
Cr 0.8463 0.3463 0.5000



No. 10
Pr7Er2Sc | PBE-GGA | optimized geometry

## Properties
Its crystal system is orthorhombic. Its theoretical density is 5.49 Mg/m³. The value obtained for the formation energy is 0.646 eV per atom.

Unit cell a=9.5857 b=9.5857 c=5.4554 alpha=90.00 beta=90.00 gamma=124.45
Sites, in units of the cell vectors:
Pr 0.0000 0.0000 0.0000
Pr 0.2114 0.4296 0.0000
Pr 0.2973 0.7027 0.5000
Pr 0.4296 0.2114 0.0000
Pr 0.5704 0.7886 0.0000
Pr 0.7027 0.2973 0.5000
Pr 0.7886 0.5704 0.0000
Er 0.2049 0.7951 0.0000
Er 0.7951 0.2049 0.0000
Sc 0.5000 0.5000 0.5000



No. 11
YSnBO5 | PBE-GGA | optimized geometry

## Properties
Its crystal system is monoclinic. Its theoretical density is 5.46 Mg/m³. Its formation energy (no corrections) is -233 kJ/mol of atoms.

Unit cell a=5.3938 b=5.3938 c=6.9831 alpha=102.54 beta=102.54 gamma=106.60
Sites, in units of the cell vectors:
Y 0.1473 0.8527 0.7500
Y 0.8527 0.1473 0.2500
Sn 0.5000 0.5000 0.0000
Sn 0.5000 0.5000 0.5000
B 0.1850 0.8150 0.2500
B 0.8150 0.1850 0.7500
O 0.0819 0.2330 0.9112
O 0.1668 0.6017 0.3594
O 0.2330 0.0819 0.4112
O 0.3983 0.8332 0.1406
O 0.4001 0.5999 0.7500
O 0.5999 0.4001 0.2500
O 0.6017 0.1668 0.8594
O 0.7670 0.9181 0.5888
O 0.8332 0.3983 0.6406
O 0.9181 0.7670 0.0888



No. 12
Sr7Nb6O21 | PBE-GGA | optimized geometry

## Properties
Its crystal system is trigonal. Its theoretical density is 5.32 Mg/m³. Its formation energy (no corrections) is -275 kJ/mol of atoms.

Unit cell a=16.7613 b=16.7613 c=16.7613 alpha=19.75 beta=19.75 gamma=19.75
Sites, in units of the cell vectors:
Sr 0.0000 0.0000 0.0000
Sr 0.1531 0.1531 0.1531
Sr 0.2324 0.2324 0.2324
Sr 0.3841 0.3841 0.3841
Sr 0.6159 0.6159 0.6159
Sr 0.7676 0.7676 0.7676
Sr 0.8469 0.8469 0.8469
Nb 0.0725 0.0725 0.0725
Nb 0.3096 0.3096 0.3096
Nb 0.4566 0.4566 0.4566
Nb 0.5434 0.5434 0.5434
Nb 0.6904 0.6904 0.6904
Nb 0.9275 0.9275 0.9275
O 0.0000 0.5000 0.5000
O 0.0924 0.1415 0.6252
O 0.1415 0.6252 0.0924
O 0.1418 0.7091 0.5699
O 0.2172 0.3087 0.7541
O 0.2459 0.7828 0.6913
O 0.2909 0.4301 0.8582
O 0.3087 0.7541 0.2172
O 0.3748 0.9076 0.8585
O 0.4301 0.8582 0.2909
O 0.5000 0.0000 0.5000
O 0.5000 0.5000 0.0000
O 0.5699 0.1418 0.7091
O 0.6252 0.0924 0.1415
O 0.6913 0.2459 0.7828
O 0.7091 0.5699 0.1418
O 0.7541 0.2172 0.3087
O 0.7828 0.6913 0.2459
O 0.8582 0.2909 0.4301
O 0.8585 0.3748 0.9076
O 0.9076 0.8585 0.3748



The highest theoretical density belongs to which entry?
Cd2Ir2Pb



Look up the theoretical density of the seventh one.
13.84 Mg/m³